(1)
DFT (PBE-GGA) results for a geometry-optimized BaCrRe structure.

abc: 4.7627 4.7627 4.7627
angles: 60.00 60.00 60.00
With the nearest neighbours (Å) after each atom.
Element x y z (fractional)
Cr1 0.5000 0.5000 0.5000  4 Re 2.92
Ba1 0.0000 0.0000 0.0000  4 Re 2.92
Re1 0.7500 0.7500 0.7500  4 Ba 2.92, 4 Cr 2.92

Formation enthalpy at 0 K = 1527 meV per atom
Distance to the lowest polymorph of the same formula = 16.61 kcal/mol of atoms
Fermi-level density of states = 2.67 states/eV/f.u.


(2)
DFT (PBE-GGA) results for a geometry-optimized BaCrRe3 structure.

abc: 4.6876 4.6876 4.6876
angles: 90.00 90.00 90.00
With the nearest neighbours (Å) after each atom.
Element x y z (fractional)
Ba1 0.5000 0.5000 0.5000  12 Re 3.31
Re1 0.0000 0.5000 0.0000  2 Cr 2.34
Re2 0.5000 0.0000 0.0000  2 Cr 2.34
Re3 0.0000 0.0000 0.5000  2 Cr 2.34
Cr1 0.0000 0.0000 0.0000  6 Re 2.34

Formation enthalpy at 0 K = 1493 meV per atom
Distance to the lowest polymorph of the same formula = 0.00 kcal/mol of atoms
Fermi-level density of states = 3.20 states/eV/f.u.


(3)
DFT (PBE-GGA) results for a geometry-optimized BaCrRe structure.

abc: 3.2720 3.2720 7.4343
angles: 90.00 90.00 120.00
With the nearest neighbours (Å) after each atom.
Element x y z (fractional)
Cr1 0.6667 0.3333 0.4079  3 Re 2.34
Ba1 0.0000 0.0000 0.9990  6 Ba 3.27, 3 Re 3.56, 3 Cr 3.58
Re1 0.3333 0.6667 0.5932  3 Cr 2.34

Formation enthalpy at 0 K = 1140 meV per atom
Distance to the lowest polymorph of the same formula = 7.69 kcal/mol of atoms
Fermi-level density of states = 3.48 states/eV/f.u.


What is the Fermi-level density of states in the second record?
3.20 states/eV/f.u.


Which formula does entry 1 have?
BaCrRe


distance to the lowest polymorph of the same formula of number 3 (BaCrRe)?
7.69 kcal/mol of atoms


The highest formation enthalpy at 0 K belongs to which entry?
number 1